Entry 1:
Computed, not measured: an optimized crystal structure of Ti2GaNiHg at the PBE level of DFT.

Unit cell a=4.733 b=4.733 c=4.771 alpha=90.00 beta=90.00 gamma=90.00
Fractional positions:
Ti 0.000 0.500 0.000
Ti 0.500 0.000 0.000
Ga 0.000 0.000 0.000
Ni 0.500 0.500 0.500
Hg 0.000 0.000 0.500

ΔE to the lowest computed polymorph in kJ/mol of formula units: 400
Total moment in μB per cell: 0.00
ρ in g/cm³: 6.6
Uncorrected energy in eV per atom: -4.026
Calculated formation energy in eV per atom: 0.95

=====

Entry 2:
Computed, not measured: an optimized crystal structure of Tb2Sm2Sc7 at the PBE level of DFT.

Unit cell a=6.085 b=6.085 c=9.105 alpha=90.47 beta=90.47 gamma=115.35
Fractional positions:
Tb 0.176 0.176 0.246
Tb 0.824 0.824 0.754
Sm 0.207 0.793 0.500
Sm 0.793 0.207 0.500
Sc 0.052 0.633 0.144
Sc 0.348 0.348 0.640
Sc 0.367 0.948 0.856
Sc 0.500 0.500 0.000
Sc 0.633 0.052 0.144
Sc 0.652 0.652 0.360
Sc 0.948 0.367 0.856

Total moment in μB per cell: 0.00
ρ in g/cm³: 5.1
Uncorrected energy in eV per atom: -5.590
Calculated formation energy in eV per atom: 0.14

=====

Entry 3:
Computed, not measured: an optimized crystal structure of Te4PdRu at the PBE level of DFT.

Unit cell a=6.585 b=6.608 c=6.573 alpha=90.00 beta=90.77 gamma=90.00
Fractional positions:
Te 0.118 0.133 0.135
Te 0.118 0.367 0.635
Te 0.364 0.625 0.120
Te 0.364 0.875 0.620
Te 0.636 0.125 0.380
Te 0.636 0.375 0.880
Te 0.882 0.633 0.365
Te 0.882 0.867 0.865
Pd 0.500 0.000 0.000
Pd 0.500 0.500 0.500
Ru 0.000 0.000 0.500
Ru 0.000 0.500 0.000

ΔE to the lowest computed polymorph in kJ/mol of formula units: 0
Total moment in μB per cell: 0.00
ρ in g/cm³: 8.3
Uncorrected energy in eV per atom: -4.798
Raw formation energy in eV per atom: -0.292

=====

Entry 4:
Computed, not measured: an optimized crystal structure of Sc3BiSb at the PBE level of DFT.

Unit cell a=5.336 b=5.336 c=5.336 alpha=90.00 beta=90.00 gamma=90.00
Fractional positions:
Sc 0.000 0.000 0.500
Sc 0.000 0.500 0.000
Sc 0.500 0.000 0.000
Bi 0.500 0.500 0.500
Sb 0.000 0.000 0.000

ΔE to the lowest computed polymorph in kJ/mol of formula units: 180
Total moment in μB per cell: 0.00
ρ in g/cm³: 5.1
Uncorrected energy in eV per atom: -5.470
Raw formation energy in eV per atom: -0.070

=====

Entry 5:
Computed, not measured: an optimized crystal structure of SrScFe3 at the PBE level of DFT.

Unit cell a=4.794 b=4.794 c=4.794 alpha=90.00 beta=90.00 gamma=90.00
Fractional positions:
Sr 0.000 0.000 0.000
Sc 0.500 0.500 0.500
Fe 0.000 0.500 0.500
Fe 0.500 0.000 0.500
Fe 0.500 0.500 0.000

Total moment in μB per cell: 7.05
ρ in g/cm³: 4.5
Uncorrected energy in eV per atom: -5.692
Calculated formation energy in eV per atom: 0.99

=====

Entry 6:
Computed, not measured: an optimized crystal structure of ZrPt at the PBE level of DFT.

Unit cell a=4.186 b=4.186 c=5.537 alpha=90.00 beta=90.00 gamma=120.00
Fractional positions:
Zr 0.333 0.667 0.250
Zr 0.667 0.333 0.750
Pt 0.000 0.000 0.000
Pt 0.000 0.000 0.500

Total moment in μB per cell: 0.00
ρ in g/cm³: 11.3
Uncorrected energy in eV per atom: -8.166
Calculated formation energy in eV per atom: -0.87

=====

Entry 7:
Computed, not measured: an optimized crystal structure of Ca4AgPd2 at the PBE level of DFT.

Unit cell a=8.158 b=8.158 c=8.718 alpha=122.23 beta=122.23 gamma=74.12
Fractional positions:
Ca 0.213 0.787 0.544
Ca 0.213 0.787 0.956
Ca 0.271 0.343 0.058
Ca 0.343 0.271 0.558
Ca 0.657 0.729 0.442
Ca 0.729 0.657 0.942
Ca 0.787 0.213 0.044
Ca 0.787 0.213 0.456
Ag 0.043 0.957 0.250
Ag 0.957 0.043 0.750
Pd 0.000 0.500 0.500
Pd 0.500 0.000 0.000
Pd 0.500 0.500 0.000
Pd 0.500 0.500 0.500

ΔE to the lowest computed polymorph in kJ/mol of formula units: 86
Total moment in μB per cell: 0.00
ρ in g/cm³: 3.8
Uncorrected energy in eV per atom: -3.409
Calculated formation energy in eV per atom: -0.37

=====

Entry 8:
Computed, not measured: an optimized crystal structure of Cd3GaAs at the PBE level of DFT.

Unit cell a=5.118 b=5.118 c=5.118 alpha=90.00 beta=90.00 gamma=90.00
Fractional positions:
Cd 0.000 0.000 0.500
Cd 0.000 0.500 0.000
Cd 0.500 0.000 0.000
Ga 0.000 0.000 0.000
As 0.500 0.500 0.500

ΔE to the lowest computed polymorph in kJ/mol of formula units: 60
Total moment in μB per cell: 1.33
ρ in g/cm³: 6.0
Uncorrected energy in eV per atom: -1.581
Calculated formation energy in eV per atom: 0.50

=====

Entry 9:
Computed, not measured: an optimized crystal structure of Pu5Ge3 at the PBE level of DFT.

Unit cell a=6.247 b=6.247 c=4.963 alpha=90.00 beta=90.00 gamma=105.28
Fractional positions:
Pu 0.000 0.000 0.000
Pu 0.000 0.500 0.000
Pu 0.301 0.301 0.500
Pu 0.500 0.000 0.000
Pu 0.699 0.699 0.500
Ge 0.205 0.795 0.500
Ge 0.500 0.500 0.000
Ge 0.795 0.205 0.500

ΔE to the lowest computed polymorph in kJ/mol of formula units: 0
Total moment in μB per cell: 27.73
ρ in g/cm³: 12.8
Uncorrected energy in eV per atom: -11.037
Calculated formation energy in eV per atom: -0.35

=====

Entry 10:
Computed, not measured: an optimized crystal structure of CsCaAg2 at the PBE level of DFT.

Unit cell a=5.779 b=5.779 c=5.779 alpha=60.00 beta=60.00 gamma=60.00
Fractional positions:
Cs 0.000 0.000 0.000
Ca 0.500 0.500 0.500
Ag 0.250 0.250 0.250
Ag 0.750 0.750 0.750

ΔE to the lowest computed polymorph in kJ/mol of formula units: 90
Total moment in μB per cell: 0.00
ρ in g/cm³: 4.7
Uncorrected energy in eV per atom: -2.013
Calculated formation energy in eV per atom: 0.13

=====

Entry 11:
Computed, not measured: an optimized crystal structure of YInP at the PBE level of DFT.

Unit cell a=4.779 b=4.779 c=4.779 alpha=60.00 beta=60.00 gamma=60.00
Fractional positions:
Y 0.000 0.000 0.000
In 0.500 0.500 0.500
P 0.750 0.750 0.750

Total moment in μB per cell: 0.00
ρ in g/cm³: 5.0
Uncorrected energy in eV per atom: -5.241
Calculated formation energy in eV per atom: -0.37

=====

Entry 12:
Computed, not measured: an optimized crystal structure of ZnGaPdPt at the PBE level of DFT.

Unit cell a=3.199 b=3.199 c=5.797 alpha=90.00 beta=90.00 gamma=90.00
Fractional positions:
Zn 0.000 0.000 0.000
Ga 0.000 0.000 0.499
Pd 0.500 0.500 0.747
Pt 0.500 0.500 0.255

ΔE to the lowest computed polymorph in kJ/mol of formula units: 11
Total moment in μB per cell: 0.00
ρ in g/cm³: 12.2
Uncorrected energy in eV per atom: -4.436
Calculated formation energy in eV per atom: -0.55

=====

Entry 13:
Computed, not measured: an optimized crystal structure of FeAsSe2N at the PBE level of DFT.

Unit cell a=5.151 b=5.151 c=3.566 alpha=90.00 beta=90.00 gamma=90.00
Fractional positions:
Fe 0.000 0.000 0.000
As 0.500 0.500 0.500
Se 0.000 0.500 0.500
Se 0.500 0.000 0.500
N 0.500 0.500 0.000

ΔE to the lowest computed polymorph in kJ/mol of formula units: 329
Total moment in μB per cell: 3.65
ρ in g/cm³: 5.3
Uncorrected energy in eV per atom: -4.635
Raw formation energy in eV per atom: 1.046

=====

Entry 14:
Computed, not measured: an optimized crystal structure of Na2HfS3 at the PBE level of DFT.

Unit cell a=6.759 b=6.759 c=6.540 alpha=101.38 beta=101.38 gamma=116.51
Fractional positions:
Na 0.082 0.918 0.750
Na 0.241 0.759 0.250
Na 0.759 0.241 0.750
Na 0.918 0.082 0.250
Hf 0.412 0.588 0.750
Hf 0.588 0.412 0.250
S 0.000 0.500 0.500
S 0.219 0.361 0.990
S 0.361 0.219 0.490
S 0.500 0.000 0.000
S 0.639 0.781 0.510
S 0.781 0.639 0.010

Total moment in μB per cell: 0.00
ρ in g/cm³: 4.3
Uncorrected energy in eV per atom: -5.578
Raw formation energy in eV per atom: -1.416

=====

Entry 15:
Computed, not measured: an optimized crystal structure of Mn3CdIn at the PBE level of DFT.

Unit cell a=4.992 b=4.992 c=4.992 alpha=90.00 beta=90.00 gamma=90.00
Fractional positions:
Mn 0.000 0.000 0.500
Mn 0.000 0.500 0.000
Mn 0.500 0.000 0.000
Cd 0.000 0.000 0.000
In 0.500 0.500 0.500

ΔE to the lowest computed polymorph in kJ/mol of formula units: 0
Total moment in μB per cell: 12.07
ρ in g/cm³: 5.2
Uncorrected energy in eV per atom: -5.111
Calculated formation energy in eV per atom: 1.12

=====

Entry 16:
Computed, not measured: an optimized crystal structure of As2IrPb at the PBE level of DFT.

Unit cell a=4.028 b=4.028 c=6.693 alpha=106.38 beta=106.38 gamma=57.59
Fractional positions:
As 0.226 0.226 0.171
As 0.774 0.774 0.829
Ir 0.500 0.500 0.000
Pb 0.000 0.000 0.500

ΔE to the lowest computed polymorph in kJ/mol of formula units: 10
Total moment in μB per cell: 0.00
ρ in g/cm³: 10.5
Uncorrected energy in eV per atom: -5.497
Calculated formation energy in eV per atom: -0.03

=====

Entry 17:
Computed, not measured: an optimized crystal structure of CaNbPt2 at the PBE level of DFT.

Unit cell a=3.183 b=3.183 c=7.566 alpha=90.00 beta=90.00 gamma=90.00
Fractional positions:
Ca 0.000 0.000 0.000
Nb 0.000 0.000 0.500
Pt 0.500 0.500 0.286
Pt 0.500 0.500 0.714

ΔE to the lowest computed polymorph in kJ/mol of formula units: 0
Total moment in μB per cell: 0.00
ρ in g/cm³: 11.3
Uncorrected energy in eV per atom: -6.661
Calculated formation energy in eV per atom: -0.62

=====

Entry 18:
Computed, not measured: an optimized crystal structure of HfZr2Pa3 at the PBE level of DFT.

Unit cell a=8.551 b=8.551 c=5.906 alpha=96.54 beta=96.54 gamma=42.59
Fractional positions:
Hf 0.000 0.000 0.000
Hf 0.500 0.500 0.000
Zr 0.160 0.160 0.341
Zr 0.330 0.330 0.654
Zr 0.670 0.670 0.346
Zr 0.840 0.840 0.659
Pa 0.094 0.567 0.151
Pa 0.270 0.730 0.500
Pa 0.433 0.906 0.849
Pa 0.567 0.094 0.151
Pa 0.730 0.270 0.500
Pa 0.906 0.433 0.849

Total moment in μB per cell: 0.00
ρ in g/cm³: 12.1
Uncorrected energy in eV per atom: -9.146
Calculated formation energy in eV per atom: 0.11

=====

Entry 19:
Computed, not measured: an optimized crystal structure of La2Fe2C2N at the PBE level of DFT.

Unit cell a=5.437 b=5.437 c=6.450 alpha=121.30 beta=121.30 gamma=37.24
Fractional positions:
La 0.066 0.066 0.327
La 0.934 0.934 0.673
Fe 0.298 0.298 0.922
Fe 0.702 0.702 0.078
C 0.296 0.296 0.224
C 0.704 0.704 0.776
N 0.500 0.500 0.000

Total moment in μB per cell: 0.00
ρ in g/cm³: 7.4
Uncorrected energy in eV per atom: -8.031
Raw formation energy in eV per atom: -0.381

=====

Entry 20:
Computed, not measured: an optimized crystal structure of CsAgSnCl6 at the PBE level of DFT.

Unit cell a=6.975 b=6.975 c=7.617 alpha=90.00 beta=90.00 gamma=120.00
Fractional positions:
Cs 0.000 0.000 0.000
Ag 0.333 0.667 0.500
Sn 0.667 0.333 0.500
Cl 0.388 0.033 0.689
Cl 0.388 0.355 0.311
Cl 0.645 0.033 0.311
Cl 0.645 0.612 0.689
Cl 0.967 0.355 0.689
Cl 0.967 0.612 0.311

Total moment in μB per cell: 0.00
ρ in g/cm³: 3.0
Uncorrected energy in eV per atom: -3.191
Raw formation energy in eV per atom: -1.103